Below is Y4Hf2Tl3N3 after structural relaxation, with properties calculated at the GGA-PBE level.

The structure in POSCAR format:
```
Y4Hf2Tl3N3
1.0
5.1905 -3.0036 0.0000
5.1905 3.0036 0.0000
-3.5284 0.0000 15.1904
Y Hf Tl N
8 4 6 6
direct
0.0379 0.1894 0.0887
0.1286 0.3037 0.4113
0.1894 0.0379 0.5887
0.3037 0.1286 0.9113
0.6963 0.8714 0.0887
0.8106 0.9621 0.4113
0.8714 0.6963 0.5887
0.9621 0.8106 0.9113
0.3506 0.5248 0.0738
0.4752 0.6494 0.4262
0.5248 0.3506 0.5738
0.6494 0.4752 0.9262
0.1141 0.8859 0.2500
0.2797 0.4176 0.7523
0.4176 0.2797 0.2523
0.5824 0.7203 0.7477
0.7203 0.5824 0.2477
0.8859 0.1141 0.7500
0.0000 0.5000 0.0000
0.1936 0.6534 0.5000
0.3466 0.8064 0.0000
0.5000 0.0000 0.5000
0.6534 0.1936 0.0000
0.8064 0.3466 0.5000
```

Computed properties:
As for the symmetry: C2/c.

Below is Hf2Zr4Tl3N3 after structural relaxation, with properties calculated at the GGA-PBE level.

The structure in POSCAR format:
```
Hf2Zr4Tl3N3
1.0
4.9563 -2.8626 0.0000
4.9563 2.8626 0.0000
-3.3054 0.0000 14.9011
Hf Zr Tl N
4 8 6 6
direct
0.0270 0.8576 0.5812
0.1424 0.9730 0.9188
0.8576 0.0270 0.0812
0.9730 0.1424 0.4188
0.1944 0.3648 0.0840
0.3081 0.4686 0.4161
0.3648 0.1944 0.5840
0.4686 0.3081 0.9161
0.5314 0.6919 0.0839
0.6352 0.8056 0.4160
0.6919 0.5314 0.5839
0.8056 0.6352 0.9160
0.0828 0.2456 0.7489
0.2456 0.0828 0.2489
0.4119 0.5881 0.7500
0.5881 0.4119 0.2500
0.7544 0.9172 0.7511
0.9172 0.7544 0.2511
0.0000 0.5000 0.5000
0.1611 0.6787 0.0000
0.3213 0.8389 0.5000
0.5000 0.0000 0.0000
0.6787 0.1611 0.5000
0.8389 0.3213 0.0000
```

Computed properties:
As for the symmetry: C2/c.

Below is HfZr3Tl2N2 after structural relaxation, with properties calculated at the GGA-PBE level.

The structure in POSCAR format:
```
HfZr3Tl2N2
1.0
3.3094 0.0000 0.0000
-1.6547 2.8660 0.0000
0.0000 0.0000 14.9361
Hf Zr Tl N
1 3 2 2
direct
0.0000 0.0000 0.0000
0.0000 0.0000 0.3336
0.3333 0.6667 0.5010
0.3333 0.6667 0.8353
0.0000 0.0000 0.6685
0.3333 0.6667 0.1661
0.6667 0.3333 0.4177
0.6667 0.3333 0.9229
```

Computed properties:
As for the symmetry: P3m1.

no.,total magnetic moment (μB per cell),DFT total energy (eV for the cell shown)
1,0.01,-179.7
2,0.02,-195.3
3,0.00,-64.7